VASP calculation (PBE-GGA) on crystalline NdTaMnSi2 at its relaxed geometry.

VASP energy   -7.840 eV per atom

Cell lengths 3.9979, 3.9979, 11.3244 Å; angles 90.00, 90.00, 90.00 degrees
Space group I-4m2 (No. 119)
Symmetry-distinct sites (fractional):
Nd  0.0000  0.0000  0.0000 x2
Ta  0.0000  0.5000  0.7500 x2
Mn  0.0000  0.5000  0.2500 x2
Si  0.0000  0.0000  0.3898 x4


VASP calculation (PBE-GGA) on crystalline NdMnSi2Tc at its relaxed geometry.

VASP energy   -7.641 eV per atom

Cell lengths 4.0654, 4.0654, 10.5282 Å; angles 90.00, 90.00, 90.00 degrees
Space group I-4m2 (No. 119)
Symmetry-distinct sites (fractional):
Nd  0.0000  0.0000  0.0000 x2
Mn  0.0000  0.5000  0.7500 x2
Si  0.0000  0.0000  0.3775 x4
Tc  0.0000  0.5000  0.2500 x2


VASP calculation (PBE-GGA) on crystalline NdTiMnSi2 at its relaxed geometry.

VASP energy   -7.157 eV per atom

Cell lengths 4.0192, 4.0192, 11.0660 Å; angles 90.00, 90.00, 90.00 degrees
Space group I-4m2 (No. 119)
Symmetry-distinct sites (fractional):
Nd  0.0000  0.0000  0.0000 x2
Ti  0.0000  0.5000  0.7500 x2
Mn  0.0000  0.5000  0.2500 x2
Si  0.0000  0.0000  0.3874 x4


VASP calculation (PBE-GGA) on crystalline Nd2SmMn at its relaxed geometry.

Formation energy from the elements   0.178 eV/atom

Cell lengths 3.6440, 3.6440, 8.9834 Å; angles 90.00, 90.00, 90.00 degrees
Space group P4/mmm (No. 123)
Symmetry-distinct sites (fractional):
Nd  0.0000  0.0000  0.2067 x2
Sm  0.5000  0.5000  0.5000 x1
Mn  0.5000  0.5000  0.0000 x1


Number 1: total magnetic moment 1.36 μB per formula unit, density of states at the Fermi level 0.64 states/eV per atom. Number 2: total magnetic moment 2.45 μB per formula unit, density of states at the Fermi level 0.77 states/eV per atom. Number 3: total magnetic moment 1.40 μB per formula unit, density of states at the Fermi level 0.53 states/eV per atom. Number 4: total magnetic moment 3.79 μB per formula unit, density of states at the Fermi level 1.50 states/eV per atom.